# 1
# GGA-PBE NaAcPd5Pb2, relaxed
# calculated formation energy = -0.4221 eV/atom
# spin magnetization = 0.00 Bohr magnetons per cell
data_NaAcPd5Pb2
_chemical_formula_sum 'Na1 Ac1 Pd5 Pb2'
_symmetry_space_group_name_H-M 'P 4/m m m'
_symmetry_Int_Tables_number 123
_symmetry_space_group_name_Hall '-P 4 2'
_cell_length_a 4.229
_cell_length_b 4.229
_cell_length_c 11.617
_cell_angle_alpha 90.00
_cell_angle_beta 90.00
_cell_angle_gamma 90.00
loop_
_atom_site_label
_atom_site_type_symbol
_atom_site_fract_x
_atom_site_fract_y
_atom_site_fract_z
Na1 Na 0.000 0.000 0.000
Ac1 Ac 0.000 0.000 0.500
Pd1 Pd 0.000 0.500 0.309
Pd2 Pd 0.500 0.500 0.500
Pb1 Pb 0.500 0.500 0.154

***

# 2
# GGA-PBE LaW2Cl, relaxed
# excess energy over the best structure of this formula in the dataset = 427 meV per atom
# ΔE_f (raw) = 0.39 eV per atom
# spin magnetization = 0.00 Bohr magnetons per cell
data_LaW2Cl
_chemical_formula_sum 'La2 W4 Cl2'
_symmetry_space_group_name_H-M 'C 1 2/m 1'
_symmetry_Int_Tables_number 12
_cell_length_a 5.454
_cell_length_b 11.812
_cell_length_c 3.297
_cell_angle_alpha 90.00
_cell_angle_beta 126.95
_cell_angle_gamma 90.00
loop_
_symmetry_equiv_pos_as_xyz
'x,y,z'
'-x,-y,-z'
'-x,y,-z'
'x,-y,z'
'x+1/2,y+1/2,z'
'-x+1/2,-y+1/2,-z'
'-x+1/2,y+1/2,-z'
'x+1/2,-y+1/2,z'
loop_
_atom_site_label
_atom_site_type_symbol
_atom_site_fract_x
_atom_site_fract_y
_atom_site_fract_z
La1 La 0.000 0.000 0.000
W1 W 0.250 0.250 0.500
Cl1 Cl 0.000 0.500 0.000

***

# 3
# GGA-PBE Ac6La3Pm2Pr, relaxed
# calculated formation energy = 0.0245 eV/atom
# spin magnetization = 0.00 Bohr magnetons per cell
data_Ac6La3Pm2Pr
_chemical_formula_sum 'Ac12 La6 Pm4 Pr2'
_symmetry_space_group_name_H-M 'C 1 2/m 1'
_symmetry_Int_Tables_number 12
_cell_length_a 6.709
_cell_length_b 11.637
_cell_length_c 12.597
_cell_angle_alpha 90.00
_cell_angle_beta 100.28
_cell_angle_gamma 90.00
loop_
_symmetry_equiv_pos_as_xyz
'x,y,z'
'-x,-y,-z'
'-x,y,-z'
'x,-y,z'
'x+1/2,y+1/2,z'
'-x+1/2,-y+1/2,-z'
'-x+1/2,y+1/2,-z'
'x+1/2,-y+1/2,z'
loop_
_atom_site_label
_atom_site_type_symbol
_atom_site_fract_x
_atom_site_fract_y
_atom_site_fract_z
Ac1 Ac 0.249 0.000 0.247
Ac2 Ac 0.249 0.333 0.247
La1 La 0.000 0.000 0.500
La2 La 0.000 0.333 0.500
Pm1 Pm 0.000 0.167 0.000
Pr1 Pr 0.000 0.500 0.000